Entry 1:
Below is DyYGeAu after structural relaxation, with properties calculated at the PBE-GGA level.

POSCAR file:
```
DyYGeAu
1.0
-3.699 -2.903 -1.928
-3.194 -2.442 3.108
-4.845 1.494 0.349
Au Dy Ge Y
1 1 1 1
Direct
0.000 0.000 0.000 Au
0.750 0.750 0.750 Dy
0.500 0.500 0.500 Ge
0.250 0.250 0.250 Y
```

Properties
DFT formation energy in eV/atom: -0.759
ρ in g cm⁻³: 9.3
Relative energy among the computed polymorphs in meV/atom: 114
DOS at the Fermi energy in states/eV/atom: 0.977

---

Entry 2:
Below is AlCd5 after structural relaxation, with properties calculated at the PBE-GGA level.

POSCAR file:
```
AlCd5
1.0
-1.312 0.182 -2.844
0.639 -3.033 -0.488
-11.744 -3.313 5.207
Cd Al
5 1
Direct
0.500 0.500 0.329 Cd
0.500 0.500 0.671 Cd
0.000 0.000 0.500 Cd
0.000 0.000 0.158 Cd
0.000 0.000 0.842 Cd
0.500 0.500 0.000 Al
```

Properties
DFT formation energy in eV/atom: 0.054
ρ in g cm⁻³: 7.5
Relative energy among the computed polymorphs in meV/atom: 0
DOS at the Fermi energy in states/eV/atom: 0.155

---

Entry 3:
Below is Ti2ZnPtBr after structural relaxation, with properties calculated at the PBE-GGA level.

POSCAR file:
```
Ti2ZnPtBr
1.0
-1.562 1.212 -4.495
0.538 -4.662 -1.444
-4.971 -1.023 1.451
Ti Pt Zn Br
2 1 1 1
Direct
0.500 0.000 0.000 Ti
0.000 0.500 0.000 Ti
0.000 0.000 0.000 Pt
0.500 0.500 0.500 Zn
0.000 0.000 0.500 Br
```

Properties
ρ in g cm⁻³: 5.7
Formation energy (no corrections) in eV per atom: 0.6014
DOS at the Fermi energy in states/eV/atom: 1.707

---

Entry 4:
Below is MgCoRu after structural relaxation, with properties calculated at the PBE-GGA level.

POSCAR file:
```
MgCoRu
1.0
-3.470 3.710 4.660
-4.107 1.143 5.137
1.851 1.002 1.673
Co Ru Mg
1 1 1
Direct
0.005 0.005 0.995 Co
0.660 0.660 0.340 Ru
0.335 0.335 0.665 Mg
```

Properties
DFT formation energy in eV/atom: 0.299
ρ in g cm⁻³: 7.1
Relative energy among the computed polymorphs in meV/atom: 199
DOS at the Fermi energy in states/eV/atom: 1.367